No. 1
A plane-wave DFT calculation with GGA-PBE was carried out for a geometry-optimized HfZr3Ga2 structure.

The structure in extended XYZ format:
```
6
Lattice="0.000 4.714 4.769 2.708 0.000 4.769 2.708 4.714 0.000" Properties=species:S:1:pos:R:3 pbc="T T T"
Hf 0.000 0.000 0.000
Zr 2.708 3.267 3.294
Zr 2.708 6.160 3.294
Zr 2.708 4.714 6.586
Ga 1.354 2.357 0.908
Ga 4.063 7.070 5.677
```

The space-group type is Fmm2, No. 42. The energy comes out at -7.39 eV/atom. The calculation puts the size of the total moment at 0.01 μB/cell.

***

No. 2
A plane-wave DFT calculation with GGA-PBE was carried out for a geometry-optimized HfZrGa structure.

The structure in extended XYZ format:
```
12
Lattice="6.685 0.000 0.000 0.000 6.685 0.000 0.000 0.000 6.685" Properties=species:S:1:pos:R:3 pbc="T T T"
Hf 0.000 0.000 0.000
Hf 0.000 3.342 3.342
Hf 3.342 0.000 3.342
Hf 3.342 3.342 0.000
Zr 1.671 1.671 1.671
Zr 1.671 5.014 5.014
Zr 5.014 1.671 5.014
Zr 5.014 5.014 1.671
Ga 1.671 1.671 5.014
Ga 1.671 5.014 1.671
Ga 5.014 1.671 1.671
Ga 5.014 5.014 5.014
```

The space-group type is F-43m, No. 216. The energy comes out at -6.48 eV/atom. The calculation puts the size of the total moment at 11.71 μB/cell.

***

No. 3
A plane-wave DFT calculation with GGA-PBE was carried out for a geometry-optimized Ga2Hg3 structure.

The structure in extended XYZ format:
```
10
Lattice="5.071 -3.499 0.000 5.071 3.499 0.000 -3.767 0.000 6.861" Properties=species:S:1:pos:R:3 pbc="T T T"
Ga 3.188 3.404 3.430
Ga 5.785 1.079 1.389
Ga 3.902 -1.079 4.819
Ga 5.071 -3.404 0.000
Hg 1.157 0.296 2.659
Hg -0.726 -0.296 6.089
Hg 2.078 1.072 5.353
Hg 5.752 1.120 4.290
Hg 3.961 -1.072 1.923
Hg 7.635 -1.120 0.860
```

The space-group type is Cc, No. 9. The energy comes out at -1.30 eV/atom.

***

No. 4
A plane-wave DFT calculation with GGA-PBE was carried out for a geometry-optimized GaHg2 structure.

The structure in extended XYZ format:
```
6
Lattice="0.000 6.080 6.080 6.080 0.000 6.080 6.080 6.080 0.000" Properties=species:S:1:pos:R:3 pbc="T T T"
Ga 1.520 1.520 1.520
Ga 10.639 10.639 10.639
Hg 0.000 0.000 0.000
Hg 3.040 3.040 0.000
Hg 3.040 0.000 3.040
Hg 0.000 3.040 3.040
```

The space-group type is Fd-3m, No. 227. The energy comes out at -0.95 eV/atom.

***

No. 5
A plane-wave DFT calculation with GGA-PBE was carried out for a geometry-optimized GaHg2 structure.

The structure in extended XYZ format:
```
6
Lattice="0.000 4.271 4.271 4.271 0.000 4.271 4.271 4.271 0.000" Properties=species:S:1:pos:R:3 pbc="T T T"
Ga 1.068 1.068 1.068
Ga 7.475 7.475 7.475
Hg 4.271 2.136 2.136
Hg 2.136 4.271 2.136
Hg 2.136 2.136 4.271
Hg 4.271 4.271 4.271
```

The space-group type is Fd-3m, No. 227. The energy comes out at -1.01 eV/atom.

***

No. 6
A plane-wave DFT calculation with GGA-PBE was carried out for a geometry-optimized HoGaHg2 structure.

The structure in extended XYZ format:
```
16
Lattice="4.873 0.000 0.000 0.000 11.251 0.000 0.000 0.000 6.571" Properties=species:S:1:pos:R:3 pbc="T T T"
Ho 1.218 1.855 0.000
Ho 1.218 7.480 3.286
Ho 3.655 3.771 3.286
Ho 3.655 9.397 0.000
Ga 1.218 4.769 1.618
Ga 1.218 10.395 4.904
Ga 3.655 0.856 4.904
Ga 3.655 6.482 1.618
Hg 1.218 1.837 3.383
Hg 1.218 4.681 4.978
Hg 1.218 7.462 0.097
Hg 1.218 10.306 1.692
Hg 3.655 0.945 1.692
Hg 3.655 3.789 0.097
Hg 3.655 6.570 4.978
Hg 3.655 9.415 3.383
```

The space-group type is Ama2, No. 40. The energy comes out at -2.40 eV/atom. The calculation puts the size of the total moment at 0.00 μB/cell.